(1)
Ho4CdRu2Au | PBE | relaxed

a = 4.9718 Å, b = 4.9718 Å, c = 8.5898 Å
α = 73.18°, β = 73.18°, γ = 60.00°
Last column: nearest neighbours and their distance in Å.
Fractional coordinates of all 8 atoms:
Ho 0.8728 0.8728 0.3817  4 Ru 3.02-3.08, 3 Au 3.03, 1 Cd 3.09
Ru 0.7485 0.7485 0.7546  8 Ho 3.01-3.08
Ru 0.2515 0.2515 0.2454  8 Ho 3.01-3.08
Ho 0.1272 0.1272 0.6183  4 Ru 3.02-3.08, 3 Au 3.03, 1 Cd 3.09
Cd 0.0000 0.0000 0.0000  8 Ho 3.06-3.09
Au 0.5000 0.5000 0.5000  8 Ho 2.98-3.03
Ho 0.6228 0.6228 0.1315  1 Au 2.98, 4 Ru 3.01-3.05, 3 Cd 3.06
Ho 0.3772 0.3772 0.8685  1 Au 2.98, 4 Ru 3.01-3.05, 3 Cd 3.06

Values from the calculation:
N(E_F) in states/eV/cell: 5.37
E_form in eV/atom: -0.461
Space-group type: No. 166

(2)
In2SeS2 | PBE | relaxed

a = 3.8498 Å, b = 5.4131 Å, c = 6.9531 Å
α = 112.91°, β = 106.07°, γ = 90.00°
Last column: nearest neighbours and their distance in Å.
Fractional coordinates of all 5 atoms:
In 0.3354 0.8354 0.6709  4 S 2.60-2.73, 2 Se 2.78
Se 0.0000 0.0000 0.0000  4 In 2.78
S 0.3076 0.3076 0.6152  4 In 2.60-2.73
In 0.6646 0.1646 0.3291  4 S 2.60-2.73, 2 Se 2.78
S 0.6924 0.6924 0.3848  4 In 2.60-2.73

Values from the calculation:
N(E_F) in states/eV/cell: 0.25
Raw formation energy in kJ per mole of atoms: -42
Space-group type: No. 71

(3)
LaErCoHg | PBE | relaxed

a = 5.1428 Å, b = 5.1428 Å, c = 5.1428 Å
α = 60.00°, β = 60.00°, γ = 60.00°
Last column: nearest neighbours and their distance in Å.
Fractional coordinates of all 4 atoms:
Co 0.2500 0.2500 0.2500  4 La 3.15, 4 Er 3.15
Hg 0.7500 0.7500 0.7500  4 La 3.15, 4 Er 3.15
Er 0.5000 0.5000 0.5000  4 Co 3.15, 4 Hg 3.15
La 0.0000 0.0000 0.0000  4 Hg 3.15, 4 Co 3.15

Values from the calculation:
N(E_F) in states/eV/cell: 3.20
E_form in eV/atom: -0.163
Space-group type: No. 216

(4)
KCrN | PBE | relaxed

a = 3.5863 Å, b = 3.5863 Å, c = 9.9002 Å
α = 90.00°, β = 90.00°, γ = 90.00°
Last column: nearest neighbours and their distance in Å.
Fractional coordinates of all 6 atoms:
Cr 0.5000 0.5000 0.5000  4 N 1.97
N 0.0000 0.5000 0.4172  4 Cr 1.97
N 0.5000 0.0000 0.5828  4 Cr 1.97
K 0.5000 0.0000 0.2020  4 N 3.31, 4 Cr 3.45, 4 K 3.59
K 0.0000 0.5000 0.7980  4 N 3.31, 4 Cr 3.45, 4 K 3.59
Cr 0.0000 0.0000 0.5000  4 N 1.97

Values from the calculation:
N(E_F) in states/eV/cell: 2.29
Raw formation energy in kJ per mole of atoms: -19
Space-group type: No. 129
Distance to the lowest polymorph of the same formula in meV per atom: 48

(5)
Os2RhAu | PBE | relaxed

a = 4.8501 Å, b = 4.8501 Å, c = 2.7493 Å
α = 90.00°, β = 90.00°, γ = 111.40°
Last column: nearest neighbours and their distance in Å.
Fractional coordinates of all 4 atoms:
Os 0.0000 0.5000 0.0000  4 Os 2.73-2.75, 4 Au 2.79, 4 Rh 2.79
Rh 0.0000 0.0000 0.5000  2 Au 2.73, 2 Rh 2.75, 8 Os 2.79
Au 0.5000 0.5000 0.5000  2 Rh 2.73, 2 Au 2.75, 8 Os 2.79
Os 0.5000 0.0000 0.0000  4 Os 2.73-2.75, 4 Au 2.79, 4 Rh 2.79

Values from the calculation:
N(E_F) in states/eV/cell: 4.99
E_form in eV/atom: 0.541
Space-group type: No. 65
Distance to the lowest polymorph of the same formula in meV per atom: 326

(6)
YPu4P5 | PBE | relaxed

a = 5.6562 Å, b = 6.9275 Å, c = 6.9275 Å
α = 80.41°, β = 65.91°, γ = 65.91°
Last column: nearest neighbours and their distance in Å.
Fractional coordinates of all 10 atoms:
Pu 0.8001 0.8020 0.5997  6 P 2.81-2.83
P 0.3048 0.7971 0.5953  5 Pu 2.81-2.83, 1 Y 2.86
P 0.5012 0.0000 0.0000  4 Pu 2.82, 2 Y 2.83
Y 0.0012 0.0000 0.0000  6 P 2.83-2.86
Pu 0.2019 0.1980 0.4003  6 P 2.81-2.83
Pu 0.6021 0.5997 0.1980  6 P 2.81-2.83
P 0.6972 0.2029 0.4047  5 Pu 2.81-2.83, 1 Y 2.86
P 0.9001 0.4047 0.7971  5 Pu 2.81-2.83, 1 Y 2.86
Pu 0.3998 0.4003 0.8020  6 P 2.81-2.83
P 0.1019 0.5953 0.2029  5 Pu 2.81-2.83, 1 Y 2.86

Values from the calculation:
N(E_F) in states/eV/cell: 33.39
E_form in eV/atom: -1.248
Space-group type: No. 87

(7)
Ga6CuPt | PBE | relaxed

a = 4.6657 Å, b = 5.3111 Å, c = 7.4957 Å
α = 64.66°, β = 72.25°, γ = 63.02°
Last column: nearest neighbours and their distance in Å.
Fractional coordinates of all 8 atoms:
Cu 0.5000 0.5000 0.5000  8 Ga 2.42-2.70
Ga 0.9192 0.4873 0.6877  1 Pt 2.60, 4 Ga 2.64-2.91, 2 Cu 2.66-2.70
Ga 0.4123 0.9801 0.1968  1 Cu 2.55, 2 Pt 2.70-2.71, 3 Ga 2.75-2.80
Pt 0.0000 0.0000 0.0000  8 Ga 2.49-2.71
Ga 0.0808 0.5127 0.3123  1 Pt 2.60, 4 Ga 2.64-2.91, 2 Cu 2.66-2.70
Ga 0.5877 0.0199 0.8032  1 Cu 2.55, 2 Pt 2.70-2.71, 3 Ga 2.75-2.80
Ga 0.7367 0.2730 0.2428  1 Cu 2.42, 1 Pt 2.49, 1 Ga 2.71
Ga 0.2633 0.7270 0.7572  1 Cu 2.42, 1 Pt 2.49, 1 Ga 2.71

Values from the calculation:
N(E_F) in states/eV/cell: 2.11
E_form in eV/atom: -0.159
Space-group type: No. 2

(8)
Zr2TeCl | PBE | relaxed

a = 4.8425 Å, b = 3.4457 Å, c = 5.7884 Å
α = 68.02°, β = 90.00°, γ = 90.00°
Last column: nearest neighbours and their distance in Å.
Fractional coordinates of all 4 atoms:
Te 0.5000 0.6441 0.7865  7 Zr 2.88-3.10
Zr 0.5000 0.4114 0.3185  2 Cl 2.53
Cl 0.0000 0.4039 0.4474  3 Zr 2.53-2.69
Zr 0.0000 0.0405 0.9475  2 Cl 2.69-2.90

Values from the calculation:
N(E_F) in states/eV/cell: 3.63
Raw formation energy in kJ per mole of atoms: -59
Space-group type: No. 6
Distance to the lowest polymorph of the same formula in meV per atom: 247